<i>
Computed, not measured: RbBaRh3 after structural relaxation at the PBE level of DFT.

Geometry as POSCAR:
```
RbBaRh3
1.0
5.318 0.000 0.000
0.000 5.318 0.000
0.000 0.000 5.318
Rh Ba Rb
3 1 1
Cartesian
2.659 0.000 0.000 Rh
0.000 2.659 0.000 Rh
0.000 0.000 2.659 Rh
0.000 0.000 0.000 Ba
2.659 2.659 2.659 Rb
```

Results
* crystal system: cubic
* SG: Pm-3m (221)

=====

<ii>
Computed, not measured: RbBaRh3 after structural relaxation at the PBE level of DFT.

Geometry as POSCAR:
```
RbBaRh3
1.0
-3.519 1.660 3.318
-2.120 -4.653 0.079
3.045 -1.321 3.890
Rh Rb Ba
3 1 1
Cartesian
-1.759 0.830 1.659 Rh
-1.060 -2.326 0.040 Rh
1.522 -0.661 1.945 Rh
0.000 0.000 0.000 Rb
-1.297 -2.157 3.644 Ba
```

Results
* crystal system: cubic
* SG: Pm-3m (221)

=====

Most stable pick: <i>. Distance to second place: 82 meV/atom.

=====

<i>
Computed, not measured: RbBaSi2Rh after structural relaxation at the PBE level of DFT.

Geometry as POSCAR:
```
RbBaSi2Rh
1.0
5.426 0.000 0.000
0.000 6.033 0.000
0.000 0.000 5.426
Si Rb Ba Rh
2 1 1 1
Cartesian
2.713 0.000 0.000 Si
0.000 0.000 2.713 Si
0.000 0.000 0.000 Rb
0.000 3.017 0.000 Ba
2.713 3.017 2.713 Rh
```

Results
* crystal system: tetragonal
* SG: P4/mmm (123)

=====

<ii>
Computed, not measured: RbBaSi2Rh after structural relaxation at the PBE level of DFT.

Geometry as POSCAR:
```
RbBaSi2Rh
1.0
4.798 0.000 0.000
0.000 5.765 0.000
0.000 0.000 4.798
Si Ba Rb Rh
2 1 1 1
Cartesian
2.399 0.000 0.000 Si
0.000 0.000 2.399 Si
2.399 2.882 2.399 Ba
0.000 2.882 0.000 Rb
0.000 0.000 0.000 Rh
```

Results
* crystal system: tetragonal
* SG: P4/mmm (123)

=====

Most stable pick: <ii>. Distance to second place: 1827 meV/atom.

=====

<i>
Computed, not measured: RbBaSr2Rh after structural relaxation at the PBE level of DFT.

Geometry as POSCAR:
```
RbBaSr2Rh
1.0
6.849 0.000 0.000
0.000 5.119 0.000
0.000 0.000 6.849
Sr Ba Rh Rb
2 1 1 1
Cartesian
3.424 0.000 0.000 Sr
0.000 0.000 3.424 Sr
3.424 2.559 3.424 Ba
0.000 2.559 0.000 Rh
0.000 0.000 0.000 Rb
```

Results
* crystal system: tetragonal
* SG: P4/mmm (123)

=====

<ii>
Computed, not measured: RbBaSr2Rh after structural relaxation at the PBE level of DFT.

Geometry as POSCAR:
```
RbBaSr2Rh
1.0
6.146 0.000 0.000
0.000 6.146 0.000
0.000 0.000 6.250
Rh Rb Ba Sr
1 1 1 2
Cartesian
0.000 0.000 0.000 Rh
3.073 3.073 3.125 Rb
0.000 0.000 3.125 Ba
3.073 0.000 0.000 Sr
0.000 3.073 0.000 Sr
```

Results
* crystal system: tetragonal
* SG: P4/mmm (123)

=====

Most stable pick: <ii>. Distance to second place: 889 meV/atom.

=====

<i>
Computed, not measured: RbBa2S2 after structural relaxation at the PBE level of DFT.

Geometry as POSCAR:
```
RbBa2S2
1.0
5.857 0.000 0.000
0.000 5.857 0.000
2.928 2.928 6.939
Ba S Rb
2 2 1
Cartesian
2.928 2.928 2.544 Ba
5.857 5.857 4.395 Ba
2.928 5.857 3.470 S
5.857 2.928 3.470 S
0.000 0.000 0.000 Rb
```

Results
* crystal system: tetragonal
* SG: I4/mmm (139)

=====

<ii>
Computed, not measured: RbBa2S2 after structural relaxation at the PBE level of DFT.

Geometry as POSCAR:
```
RbBa2S2
1.0
8.796 0.000 0.000
0.000 8.796 0.000
0.000 0.000 4.282
S Ba Rb
4 4 2
Cartesian
3.064 7.462 0.000 S
7.462 5.732 0.000 S
5.732 1.334 0.000 S
1.334 3.064 0.000 S
5.717 7.477 2.141 Ba
3.079 1.319 2.141 Ba
1.319 5.717 2.141 Ba
7.477 3.079 2.141 Ba
4.398 4.398 0.000 Rb
0.000 0.000 0.000 Rb
```

Results
* crystal system: tetragonal
* SG: P4/mbm (127)

=====

Most stable pick: <ii>. Distance to second place: 16 meV/atom.